Entry 1:
Below is ErScNO after structural relaxation, with properties calculated at the PBE-GGA level.

Computed properties:
* crystal system: orthorhombic

Unit cell a=3.937 b=4.705 c=6.290 alpha=90.00 beta=90.00 gamma=90.00
Positions (direct):
1 Er 0.000 0.939 0.674
2 Er 0.000 0.439 0.326
3 O 0.500 0.438 0.152
4 N 0.000 0.939 0.305
5 Sc 0.500 0.439 0.816
6 Sc 0.500 0.939 0.184
7 N 0.000 0.439 0.695
8 O 0.500 0.938 0.848


Entry 2:
Below is ErScNO after structural relaxation, with properties calculated at the PBE-GGA level.

Computed properties:
* crystal system: tetragonal

Unit cell a=3.912 b=3.912 c=7.896 alpha=90.00 beta=90.00 gamma=90.00
Positions (direct):
1 Er 0.750 0.750 0.871
2 Sc 0.250 0.750 0.500
3 Er 0.250 0.250 0.129
4 O 0.750 0.250 0.000
5 Sc 0.750 0.250 0.500
6 N 0.750 0.750 0.372
7 N 0.250 0.250 0.628
8 O 0.250 0.750 0.000


Entry 3:
Below is ErScNO after structural relaxation, with properties calculated at the PBE-GGA level.

Computed properties:
* crystal system: orthorhombic

Unit cell a=6.317 b=7.728 c=4.665 alpha=90.00 beta=90.00 gamma=90.00
Positions (direct):
1 Er 0.562 0.371 0.050
2 Er 0.938 0.371 0.550
3 N 0.579 0.886 0.551
4 O 0.912 0.356 0.050
5 N 0.421 0.114 0.051
6 O 0.588 0.356 0.550
7 Sc 0.088 0.118 0.051
8 Er 0.438 0.629 0.550
9 Sc 0.912 0.882 0.551
10 O 0.412 0.644 0.050
11 N 0.921 0.886 0.051
12 Er 0.062 0.629 0.050
13 Sc 0.588 0.882 0.051
14 N 0.079 0.114 0.551
15 Sc 0.412 0.118 0.551
16 O 0.088 0.644 0.550


Entry 4:
Below is ErScNO after structural relaxation, with properties calculated at the PBE-GGA level.

Computed properties:
* crystal system: orthorhombic

Unit cell a=3.815 b=4.616 c=6.599 alpha=90.00 beta=90.00 gamma=90.00
Positions (direct):
1 O 0.500 0.939 0.813
2 N 0.000 0.938 0.346
3 O 0.500 0.439 0.187
4 Er 0.500 0.438 0.831
5 Er 0.500 0.938 0.169
6 N 0.000 0.438 0.654
7 Sc 0.000 0.939 0.662
8 Sc 0.000 0.439 0.338


So what do the calculations give for volume? Going down the list: 116.5 120.9 227.7 116.2 Å³/cell.
So what do the calculations give for E? Going down the list: -66.65 -64.09 -133.16 -66.78 eV/cell.